[1]
{"formula": "Mg4Pd4Pt5", "functional": "PBE-GGA", "state": "optimized geometry", "dos_ef_per_ev_fu": 7.9, "vol_a3_per_fu": 204.6, "delta_e_f_ev_per_atom": -0.59, "cell": [[-5.065, 5.065, 1.993], [5.065, -5.065, 1.993], [5.065, 5.065, -1.993]], "species": ["Mg", "Mg", "Mg", "Mg", "Pd", "Pd", "Pd", "Pd", "Pt", "Pt", "Pt", "Pt", "Pt"], "frac_coords": [[0.141, 0.771, 0.912], [0.229, 0.141, 0.369], [0.771, 0.859, 0.631], [0.859, 0.229, 0.088], [0.084, 0.387, 0.471], [0.387, 0.916, 0.303], [0.613, 0.084, 0.697], [0.916, 0.613, 0.529], [0.000, 0.000, 0.000], [0.306, 0.548, 0.854], [0.452, 0.306, 0.758], [0.548, 0.694, 0.242], [0.694, 0.452, 0.146]]}

---

[2]
{"formula": "Mg3Pd2Pt", "functional": "PBE-GGA", "state": "optimized geometry", "dos_ef_per_ev_fu": 1.4, "vol_a3_per_fu": 95.7, "delta_e_f_ev_per_atom": -0.78, "de_polymorph_mev_per_atom": 5.4, "cell": [[3.036, 0.000, 0.000], [0.000, 3.036, 0.000], [0.000, 0.000, 10.387]], "species": ["Mg", "Mg", "Mg", "Pd", "Pd", "Pt"], "frac_coords": [[0.000, 0.000, 0.000], [0.000, 0.000, 0.333], [0.000, 0.000, 0.667], [0.500, 0.500, 0.166], [0.500, 0.500, 0.834], [0.500, 0.500, 0.500]]}

---

[3]
{"formula": "MgPd2Pt6", "functional": "PBE-GGA", "state": "optimized geometry", "dos_ef_per_ev_fu": 10.8, "vol_a3_per_fu": 142.1, "delta_e_f_ev_per_atom": -0.19, "cell": [[3.659, -7.089, 0.000], [3.659, 7.089, 0.000], [-0.518, 0.000, 2.739]], "species": ["Mg", "Pd", "Pd", "Pt", "Pt", "Pt", "Pt", "Pt", "Pt"], "frac_coords": [[0.000, 0.000, 0.000], [0.166, 0.834, 0.500], [0.834, 0.166, 0.500], [0.167, 0.496, 0.165], [0.318, 0.318, 0.661], [0.496, 0.167, 0.165], [0.504, 0.833, 0.835], [0.682, 0.682, 0.339], [0.833, 0.504, 0.835]]}